--- i ---
The following is a PBE calculation of a relaxed structure of PuCN, from Alexandria via LeMat-Bulk.

The density of states at the Fermi level comes out at 2.204 states/eV per atom.

It has space group Cmce (No. 64), with a = 6.5973 Å, b = 7.1575 Å, c = 6.7308 Å, α = 90.00°, β = 90.00° and γ = 90.00°. The asymmetric unit holds Pu at (0.2500, 0.1669, 0.2500), C at (0.0000, 0.0764, 0.5720) and N at (0.0000, 0.2374, 0.0053).

--- ii ---
The following is a PBE calculation of a relaxed structure of PuCN, from Alexandria via LeMat-Bulk.

The density of states at the Fermi level comes out at 2.598 states/eV per atom.

It has space group I4mm (No. 107), with a = 3.5849 Å, b = 3.5849 Å, c = 5.9786 Å, α = 90.00°, β = 90.00° and γ = 90.00°. The asymmetric unit holds Pu at (0.0000, 0.0000, 0.0000), C at (0.0000, 0.0000, 0.6062) and N at (0.0000, 0.0000, 0.3876).

Most favorable structure: ii. The second most favorable one is 11.3 kJ/mol of atoms above it.

--- i ---
The following is a PBE calculation of a relaxed structure of Pu3CN2, from Alexandria via LeMat-Bulk.

The density of states at the Fermi level comes out at 2.834 states/eV per atom.

It has space group Pnma (No. 62), with a = 6.9988 Å, b = 4.9611 Å, c = 10.4428 Å, α = 90.00°, β = 90.00° and γ = 90.00°. The asymmetric unit holds Pu at (0.1211, 0.2500, 0.0855), Pu at (0.1246, 0.2500, 0.7484), Pu at (0.1277, 0.2500, 0.4147), C at (0.1290, 0.7500, 0.4130), N at (0.1241, 0.7500, 0.0797) and N at (0.1254, 0.7500, 0.7500).

--- ii ---
The following is a PBE calculation of a relaxed structure of Pu3CN2, from Alexandria via LeMat-Bulk.

The density of states at the Fermi level comes out at 2.887 states/eV per atom.

It has space group C2/c (No. 15), with a = 11.1016 Å, b = 4.9607 Å, c = 7.0373 Å, α = 90.00°, β = 108.47° and γ = 90.00°. The asymmetric unit holds Pu at (0.0000, 0.9998, 0.2500), Pu at (0.1697, 0.5000, 0.0848), C at (0.0000, 0.4994, 0.2500) and N at (0.1663, 0.0001, 0.0832).

Most favorable structure: ii. The second most favorable one is 5.8 kJ/mol of atoms above it.

--- i ---
The following is a PBE calculation of a relaxed structure of Pu2CN, from Alexandria via LeMat-Bulk.

The density of states at the Fermi level comes out at 2.839 states/eV per atom.

It has space group R-3m (No. 166, hexagonal axes), with a = 3.5269 Å, b = 3.5269 Å, c = 17.1844 Å, α = 90.00°, β = 90.00° and γ = 120.00°. The asymmetric unit holds Pu at (0.0000, 0.0000, 0.2488), C at (0.0000, 0.0000, 0.0000) and N at (0.0000, 0.0000, 0.5000).

--- ii ---
The following is a PBE calculation of a relaxed structure of Pu2CN, from Alexandria via LeMat-Bulk.

The density of states at the Fermi level comes out at 2.976 states/eV per atom.

It has space group P4/mmm (No. 123), with a = 3.5163 Å, b = 3.5163 Å, c = 4.9772 Å, α = 90.00°, β = 90.00° and γ = 90.00°. The asymmetric unit holds Pu at (0.0000, 0.0000, 0.0000), Pu at (0.5000, 0.5000, 0.5000), C at (0.0000, 0.0000, 0.5000) and N at (0.5000, 0.5000, 0.0000).

--- iii ---
The following is a PBE calculation of a relaxed structure of Pu2CN, from Alexandria via LeMat-Bulk.

The density of states at the Fermi level comes out at 3.294 states/eV per atom.

It has space group R3m (No. 160, hexagonal axes), with a = 3.4573 Å, b = 3.4573 Å, c = 17.6742 Å, α = 90.00°, β = 90.00° and γ = 120.00°. The asymmetric unit holds Pu at (0.0000, 0.0000, 0.0000), Pu at (0.0000, 0.0000, 0.1646), C at (0.0000, 0.0000, 0.5770) and N at (0.0000, 0.0000, 0.7531).

Most favorable structure: ii. The second most favorable one is 0.7 kJ/mol of atoms above it.

--- i ---
The following is a PBE calculation of a relaxed structure of RbC2N2, from Alexandria via LeMat-Bulk.

The density of states at the Fermi level comes out at 0.250 states/eV per atom.

It has space group I4/mmm (No. 139), with a = 3.2211 Å, b = 3.2211 Å, c = 10.4793 Å, α = 90.00°, β = 90.00° and γ = 90.00°. The asymmetric unit holds Rb at (0.0000, 0.0000, 0.0000), C at (0.0000, 0.5000, 0.2500) and N at (0.0000, 0.0000, 0.2987).

--- ii ---
The following is a PBE calculation of a relaxed structure of RbC2N2, from Alexandria via LeMat-Bulk.

The density of states at the Fermi level comes out at 0.007 states/eV per atom.

It has space group P4/mbm (No. 127), with a = 7.0011 Å, b = 7.0011 Å, c = 5.8545 Å, α = 90.00°, β = 90.00° and γ = 90.00°. The asymmetric unit holds Rb at (0.0000, 0.0000, 0.0000), C at (0.0641, 0.4359, 0.5000) and N at (0.0562, 0.5562, 0.0000).

Most favorable structure: ii. The second most favorable one is 69.3 kJ/mol of atoms above it.

--- i ---
The following is a PBE calculation of a relaxed structure of RbCS2N, from Alexandria via LeMat-Bulk.

The density of states at the Fermi level comes out at 0.476 states/eV per atom.

It has space group P4/mmm (No. 123), with a = 4.0419 Å, b = 4.0419 Å, c = 5.9949 Å, α = 90.00°, β = 90.00° and γ = 90.00°. The asymmetric unit holds Rb at (0.0000, 0.0000, 0.0000), C at (0.5000, 0.5000, 0.5000), S at (0.0000, 0.5000, 0.5000) and N at (0.5000, 0.5000, 0.0000).

--- ii ---
The following is a PBE calculation of a relaxed structure of RbCS2N, from Alexandria via LeMat-Bulk.

The density of states at the Fermi level comes out at 1.424 states/eV per atom.

It has space group P4/mmm (No. 123), with a = 6.7730 Å, b = 6.7730 Å, c = 6.3795 Å, α = 90.00°, β = 90.00° and γ = 90.00°. The asymmetric unit holds Rb at (0.0000, 0.0000, 0.0000), C at (0.5000, 0.5000, 0.5000), S at (0.0000, 0.5000, 0.0000) and N at (0.0000, 0.0000, 0.5000).

Most favorable structure: i. The second most favorable one is 150.2 kJ/mol of atoms above it.